VASP calculation (PBE) on crystalline Sm2Zn5Cu12 at its relaxed geometry.

Structure (extended XYZ):
```
19
Lattice="4.356 2.515 4.253 -4.356 2.515 4.253 0.000 -5.030 4.253" Properties=species:S:1:pos:R:3 pbc="T T T"
Sm 0.000 0.000 1.903
Sm 0.000 0.000 10.856
Zn -2.178 -1.258 4.253
Zn 0.000 0.000 5.112
Zn -2.178 1.258 8.506
Zn 0.000 2.515 4.253
Zn 0.000 0.000 7.647
Cu 0.000 -2.524 4.087
Cu -2.185 1.262 4.087
Cu -1.307 -2.264 6.380
Cu -2.615 0.000 6.380
Cu -2.185 -1.262 8.672
Cu 1.307 -2.264 6.380
Cu -1.307 2.264 6.380
Cu 2.185 1.262 4.087
Cu 2.615 0.000 6.380
Cu 1.307 2.264 6.380
Cu 2.185 -1.262 8.672
Cu 0.000 2.524 8.672
```

Output
**Symmetry**: R-3m, No. 166
**Calculated volume**: 14.7 A^3/atom
**E_form**: -156 meV per atom
**DFT total energy**: -3.575 eV/atom

VASP calculation (PBE) on crystalline U2SbAs2S2 at its relaxed geometry.

Structure (extended XYZ):
```
7
Lattice="3.147 0.000 0.000 -1.574 2.725 0.000 0.000 0.000 32.499" Properties=species:S:1:pos:R:3 pbc="T T T"
U 0.000 1.817 6.365
U 1.574 0.908 26.134
Sb 0.000 0.000 16.250
As 0.000 0.000 1.222
As 0.000 0.000 31.278
S 0.000 1.817 27.996
S 1.574 0.908 4.503
```

Output
**Symmetry**: P-3m1, No. 164
**Calculated volume**: 39.8 A^3/atom
**DFT total energy**: -6.164 eV/atom